Run w
Entry from the Alexandria database: GdZrSn after structural relaxation (PBE-GGA).

Cell lengths 3.449, 5.136, 5.136 Å; angles 120.00, 90.00, 90.00 degrees
Site moments in Bohr magnetons follow the coordinates.
Fractional coordinates of all 3 atoms:
1 Gd 0.676 0.333 0.667  7.13
2 Zr 0.209 0.667 0.333  0.18
3 Sn 0.115 0.000 0.000  -0.04

Properties
* calculated density: 7.74 Mg/m³
* SG: P3m1, No. 156
* magnetization: 7.6 Bohr magnetons per cell

***

Run x
Entry from the Alexandria database: GdZrSn after structural relaxation (PBE-GGA).

Cell lengths 3.917, 3.917, 5.641 Å; angles 110.31, 110.31, 90.00 degrees
Site moments in Bohr magnetons follow the coordinates.
Fractional coordinates of all 3 atoms:
1 Sn 0.626 0.626 0.252  -0.03
2 Gd 0.955 0.955 0.911  7.14
3 Zr 0.268 0.268 0.537  0.12

Properties
* calculated density: 8.09 Mg/m³
* SG: I4mm, No. 107
* magnetization: 7.6 Bohr magnetons per cell

***

Quick one: most stable of them? run x

***

Run w
Entry from the Alexandria database: SrGd2 after structural relaxation (PBE-GGA).

Cell lengths 6.976, 6.976, 6.976 Å; angles 60.00, 60.00, 60.00 degrees
Site moments in Bohr magnetons follow the coordinates.
Fractional coordinates of all 6 atoms:
1 Gd 0.125 0.625 0.625  7.25
2 Gd 0.625 0.125 0.625  7.25
3 Gd 0.625 0.625 0.125  7.25
4 Sr 0.250 0.250 0.250  0.01
5 Sr 0.000 0.000 0.000  0.01
6 Gd 0.625 0.625 0.625  7.25

Properties
* calculated density: 5.56 Mg/m³
* SG: Fd-3m, No. 227
* magnetization: 30.4 Bohr magnetons per cell

***

Run x
Entry from the Alexandria database: SrGd2 after structural relaxation (PBE-GGA).

Cell lengths 3.755, 3.755, 8.587 Å; angles 102.63, 102.63, 90.00 degrees
Site moments in Bohr magnetons follow the coordinates.
Fractional coordinates of all 3 atoms:
1 Sr 0.000 0.000 0.000  0.00
2 Gd 0.682 0.682 0.364  7.22
3 Gd 0.318 0.318 0.636  7.22

Properties
* calculated density: 5.80 Mg/m³
* SG: I4/mmm, No. 139
* magnetization: 15.1 Bohr magnetons per cell

***

Quick one: most stable of them? run x

***

Run w
Entry from the Alexandria database: SrTbGd after structural relaxation (PBE-GGA).

Cell lengths 3.743, 3.743, 9.307 Å; angles 90.00, 90.00, 120.00 degrees
Site moments in Bohr magnetons follow the coordinates.
Fractional coordinates of all 3 atoms:
1 Tb 0.333 0.667 0.647  0.02
2 Sr 0.000 0.000 0.998  0.01
3 Gd 0.667 0.333 0.355  -7.22

Properties
* calculated density: 5.94 Mg/m³
* SG: P3m1, No. 156
* magnetization: 7.5 Bohr magnetons per cell

***

Run x
Entry from the Alexandria database: SrTbGd after structural relaxation (PBE-GGA).

Cell lengths 3.756, 3.756, 8.459 Å; angles 102.83, 102.83, 90.00 degrees
Site moments in Bohr magnetons follow the coordinates.
Fractional coordinates of all 3 atoms:
1 Sr 0.001 0.001 0.003  -0.01
2 Gd 0.318 0.318 0.637  7.25
3 Tb 0.680 0.680 0.361  0.01

Properties
* calculated density: 5.92 Mg/m³
* SG: I4mm, No. 107
* magnetization: 7.5 Bohr magnetons per cell

***

Quick one: most stable of them? run x

***

Run w
Entry from the Alexandria database: SrGdTh after structural relaxation (PBE-GGA).

Cell lengths 3.709, 3.709, 9.366 Å; angles 90.00, 90.00, 120.00 degrees
Site moments in Bohr magnetons follow the coordinates.
Fractional coordinates of all 3 atoms:
1 Th 0.667 0.333 0.351  -0.06
2 Sr 0.000 0.000 0.005  0.01
3 Gd 0.333 0.667 0.644  7.20

Properties
* calculated density: 7.10 Mg/m³
* SG: P3m1, No. 156
* magnetization: 7.5 Bohr magnetons per cell

***

Run x
Entry from the Alexandria database: SrGdTh after structural relaxation (PBE-GGA).

Cell lengths 3.648, 3.648, 8.886 Å; angles 101.84, 101.84, 90.00 degrees
Site moments in Bohr magnetons follow the coordinates.
Fractional coordinates of all 3 atoms:
1 Th 0.680 0.680 0.360  -0.09
2 Gd 0.317 0.317 0.635  7.13
3 Sr 0.003 0.003 0.005  -0.01

Properties
* calculated density: 7.00 Mg/m³
* SG: I4mm, No. 107
* magnetization: 7.2 Bohr magnetons per cell

***

Quick one: most stable of them? run x

***

Run w
Entry from the Alexandria database: SrGd2Tl after structural relaxation (PBE-GGA).

Cell lengths 3.729, 3.729, 12.229 Å; angles 81.23, 81.23, 60.00 degrees
Site moments in Bohr magnetons follow the coordinates.
Fractional coordinates of all 4 atoms:
1 Sr 0.000 0.000 0.000  0.00
2 Gd 0.901 0.901 0.297  7.20
3 Tl 0.500 0.500 0.500  -0.04
4 Gd 0.099 0.099 0.703  7.20

Properties
* calculated density: 6.95 Mg/m³
* SG: R-3m, No. 166
* magnetization: 15.1 Bohr magnetons per cell

***

Run x
Entry from the Alexandria database: SrGd2Tl after structural relaxation (PBE-GGA).

Cell lengths 5.065, 5.030, 5.030 Å; angles 90.00, 90.00, 90.00 degrees
Site moments in Bohr magnetons follow the coordinates.
Fractional coordinates of all 4 atoms:
1 Gd 0.000 0.500 0.000  7.26
2 Gd 0.000 0.000 0.500  7.26
3 Tl 0.500 0.500 0.500  -0.04
4 Sr 0.500 0.000 0.000  0.03

Properties
* calculated density: 7.86 Mg/m³
* SG: P4/mmm, No. 123
* magnetization: 15.1 Bohr magnetons per cell

***

Quick one: most stable of them? run x

***

Run w
Entry from the Alexandria database: SrGdTm2 after structural relaxation (PBE-GGA).

Cell lengths 3.577, 3.577, 12.849 Å; angles 82.00, 82.00, 60.00 degrees
Site moments in Bohr magnetons follow the coordinates.
Fractional coordinates of all 4 atoms:
1 Tm 0.907 0.907 0.279  -0.08
2 Sr 0.000 0.000 0.000  -0.01
3 Tm 0.093 0.093 0.721  -0.08
4 Gd 0.500 0.500 0.500  7.11

Properties
* calculated density: 6.89 Mg/m³
* SG: R-3m, No. 166
* magnetization: 7.1 Bohr magnetons per cell

***

Run x
Entry from the Alexandria database: SrGdTm2 after structural relaxation (PBE-GGA).

Cell lengths 3.665, 3.665, 10.455 Å; angles 90.00, 90.00, 90.00 degrees
Site moments in Bohr magnetons follow the coordinates.
Fractional coordinates of all 4 atoms:
1 Sr 0.500 0.500 0.500  -0.02
2 Gd 0.500 0.500 0.000  7.08
3 Tm 0.000 0.000 0.779  -0.11
4 Tm 0.000 0.000 0.221  -0.11

Properties
* calculated density: 6.89 Mg/m³
* SG: P4/mmm, No. 123
* magnetization: 6.8 Bohr magnetons per cell

***

Quick one: most stable of them? run x

***

Run w
Entry from the Alexandria database: SrGd2Y after structural relaxation (PBE-GGA).

Cell lengths 5.264, 5.244, 5.244 Å; angles 90.00, 90.00, 90.00 degrees
Site moments in Bohr magnetons follow the coordinates.
Fractional coordinates of all 4 atoms:
1 Sr 0.500 0.000 0.000  0.04
2 Gd 0.000 0.000 0.500  7.31
3 Y 0.500 0.500 0.500  0.17
4 Gd 0.000 0.500 0.000  7.31

Properties
* calculated density: 5.63 Mg/m³
* SG: P4/mmm, No. 123
* magnetization: 15.9 Bohr magnetons per cell

***

Run x
Entry from the Alexandria database: SrGd2Y after structural relaxation (PBE-GGA).

Cell lengths 3.635, 3.635, 12.991 Å; angles 81.96, 81.96, 60.00 degrees
Site moments in Bohr magnetons follow the coordinates.
Fractional coordinates of all 4 atoms:
1 Gd 0.907 0.907 0.278  -7.22
2 Sr 0.000 0.000 0.000  0.01
3 Gd 0.093 0.093 0.722  -7.22
4 Y 0.500 0.500 0.500  0.08

Properties
* calculated density: 5.56 Mg/m³
* SG: R-3m, No. 166
* magnetization: 14.9 Bohr magnetons per cell

***

Run y
Entry from the Alexandria database: SrGd2Y after structural relaxation (PBE-GGA).

Cell lengths 3.698, 3.698, 10.673 Å; angles 90.00, 90.00, 90.00 degrees
Site moments in Bohr magnetons follow the coordinates.
Fractional coordinates of all 4 atoms:
1 Gd 0.000 0.000 0.222  -7.26
2 Gd 0.000 0.000 0.778  -7.26
3 Y 0.500 0.500 0.000  -0.03
4 Sr 0.500 0.500 0.500  -0.04

Properties
* calculated density: 5.59 Mg/m³
* SG: P4/mmm, No. 123
* magnetization: 15.4 Bohr magnetons per cell

***

Quick one: most stable of them? run y

***

Run w
Entry from the Alexandria database: GdZr2Ta after structural relaxation (PBE-GGA).

Cell lengths 3.167, 3.167, 11.236 Å; angles 81.90, 81.90, 60.00 degrees
Site moments in Bohr magnetons follow the coordinates.
Fractional coordinates of all 4 atoms:
1 Zr 0.905 0.905 0.284  -0.04
2 Gd 0.000 0.000 0.000  7.26
3 Zr 0.095 0.095 0.716  -0.04
4 Ta 0.500 0.500 0.500  -0.03

Properties
* calculated density: 8.98 Mg/m³
* SG: R-3m, No. 166
* magnetization: 7.3 Bohr magnetons per cell

***

Run x
Entry from the Alexandria database: GdZr2Ta after structural relaxation (PBE-GGA).

Cell lengths 3.531, 3.531, 7.666 Å; angles 90.00, 90.00, 90.00 degrees
Site moments in Bohr magnetons follow the coordinates.
Fractional coordinates of all 4 atoms:
1 Zr 0.000 0.000 0.794  0.08
2 Zr 0.000 0.000 0.206  0.08
3 Ta 0.500 0.500 0.000  0.02
4 Gd 0.500 0.500 0.500  7.21

Properties
* calculated density: 9.05 Mg/m³
* SG: P4/mmm, No. 123
* magnetization: 7.8 Bohr magnetons per cell

***

Quick one: most stable of them? run x